Entry 1:
Density functional theory data (PBE) for a relaxed structure of Mg4AlTl.

```
Mg4AlTl
1.0
3.078 -4.021 0.000
3.078 4.021 0.000
-2.540 0.000 5.603
Mg Al Tl
4 1 1
direct
0.059 0.440 0.259
0.440 0.059 0.259
0.560 0.941 0.741
0.941 0.560 0.741
0.000 0.000 0.500
0.500 0.500 0.000
```

---

Entry 2:
Density functional theory data (PBE) for a relaxed structure of Mg2AlTl2.

```
Mg2AlTl2
1.0
8.038 0.000 0.000
0.000 8.038 0.000
0.000 0.000 3.829
Mg Al Tl
4 2 4
direct
0.151 0.349 0.000
0.349 0.849 0.000
0.651 0.151 0.000
0.849 0.651 0.000
0.000 0.000 0.500
0.500 0.500 0.500
0.151 0.651 0.500
0.349 0.151 0.500
0.651 0.849 0.500
0.849 0.349 0.500
```

---

Entry 3:
Density functional theory data (PBE) for a relaxed structure of MgAlTl.

```
MgAlTl
1.0
15.409 0.000 0.000
0.000 1.617 2.803
0.000 -1.617 2.803
Mg Al Tl
2 2 2
direct
0.000 0.000 0.000
0.500 0.002 0.002
0.152 0.333 0.333
0.848 0.333 0.333
0.321 0.668 0.668
0.679 0.668 0.668
```

---

Entry 4:
Density functional theory data (PBE) for a relaxed structure of Mg2Al2Tl.

```
Mg2Al2Tl
1.0
-2.189 2.189 6.277
2.189 -2.189 6.277
2.189 2.189 -6.277
Mg Al Tl
2 2 1
direct
0.250 0.750 0.500
0.750 0.250 0.500
0.101 0.101 0.000
0.899 0.899 0.000
0.500 0.500 0.000
```

---

Entry 5:
Density functional theory data (PBE) for a relaxed structure of Mg7Al2Tl2.

```
Mg7Al2Tl2
1.0
3.612 -4.378 0.000
3.612 4.378 0.000
-1.444 0.000 7.991
Mg Al Tl
7 2 2
direct
0.000 0.000 0.000
0.076 0.462 0.816
0.134 0.134 0.375
0.462 0.076 0.816
0.538 0.924 0.184
0.866 0.866 0.625
0.924 0.538 0.184
0.391 0.391 0.125
0.609 0.609 0.875
0.311 0.689 0.500
0.689 0.311 0.500
```

---

Entry 6:
Density functional theory data (PBE) for a relaxed structure of Mg3AlTl.

```
Mg3AlTl
1.0
5.227 0.000 0.000
0.000 5.227 0.000
0.000 0.000 5.227
Mg Al Tl
3 1 1
direct
0.000 0.000 0.500
0.000 0.500 0.000
0.500 0.000 0.000
0.000 0.000 0.000
0.500 0.500 0.500
```

---

no.,energy of formation from the pure elements (kJ/mol of formula units)
1,20.7
2,84.1
3,40.7
4,92.7
5,28.0
6,144.9